The following is a DFT calculation (PBE) of crystalline Nb4Cr at its relaxed geometry.

```
Nb4Cr
1.0
4.604 0.000 0.000
0.000 4.604 0.000
0.000 0.000 4.604
Nb Cr
4 1
Cartesian
0.000 0.000 0.000
0.000 2.302 2.302
2.302 0.000 2.302
2.302 2.302 0.000
2.302 2.302 2.302
```

Calculated values
For the density of states at the Fermi level, the calculation gives 1.07 states/eV per atom. As for the space group: Pm-3m (221). The formation energy is 0.87 eV/atom.